Entry 1:
NbFe4Pt: optimized geometry, GGA-PBE.

```
6
Lattice="0.0000 3.3908 3.3908 3.3908 0.0000 3.3908 3.3908 3.3908 0.0000" Properties=species:S:1:pos:R:3 pbc="T T T"
Nb 0.0000 0.0000 0.0000
Fe 2.5401 2.5401 2.5401
Fe 4.2415 4.2415 2.5401
Fe 4.2415 2.5401 4.2415
Fe 2.5401 4.2415 4.2415
Pt 5.0862 5.0862 5.0862
```

## Properties
Symmetry = F-43m, No. 216
DOS at the Fermi energy = 6.28 states/eV/f.u.
Total energy = -8.56 eV/atom
Calculated volume = 78.0 Å³ per cell

***

Entry 2:
BeAlSi2: optimized geometry, GGA-PBE.

```
4
Lattice="2.6802 -3.6598 0.0000 2.6802 3.6598 0.0000 0.0000 0.0000 2.7375" Properties=species:S:1:pos:R:3 pbc="T T T"
Be 0.0000 0.0000 0.0000
Al 2.6802 0.0000 0.0000
Si 1.3401 1.8299 1.3688
Si 1.3401 -1.8299 1.3688
```

## Properties
Symmetry = Cmmm, No. 65
DOS at the Fermi energy = 1.51 states/eV/f.u.
Polymorph energy (0 for the lowest one) = 61 meV/atom
Total energy = -4.20 eV/atom
Energy relative to the elements, uncorrected = 375 meV/atom
Calculated volume = 53.7 Å³ per cell

***

Entry 3:
V2PRu2: optimized geometry, GGA-PBE.

```
10
Lattice="7.0790 0.0000 0.0000 0.0000 7.0790 0.0000 0.0000 0.0000 2.8623" Properties=species:S:1:pos:R:3 pbc="T T T"
V 1.1076 2.4319 0.0000
V 2.4319 5.9714 0.0000
V 4.6470 1.1076 0.0000
V 5.9714 4.6470 0.0000
P 0.0000 0.0000 1.4312
P 3.5395 3.5395 1.4312
Ru 0.9850 4.5244 1.4312
Ru 2.5545 0.9850 1.4312
Ru 4.5244 6.0940 1.4312
Ru 6.0940 2.5545 1.4312
```

## Properties
Symmetry = P4/mbm, No. 127
DOS at the Fermi energy = 3.66 states/eV/f.u.
Polymorph energy (0 for the lowest one) = 0 meV/atom
Total energy = -8.42 eV/atom
Calculated volume = 143.4 Å³ per cell

***

Entry 4:
ZrReIr: optimized geometry, GGA-PBE.

```
3
Lattice="4.5506 0.0000 0.0000 -2.2753 3.9409 0.0000 0.0000 0.0000 2.8136" Properties=species:S:1:pos:R:3 pbc="T T T"
Zr 0.0000 0.0000 0.0000
Re 2.2753 1.3136 1.9255
Ir 0.0000 2.6273 1.0179
```

## Properties
Symmetry = P3m1, No. 156
DOS at the Fermi energy = 5.19 states/eV/f.u.
Polymorph energy (0 for the lowest one) = 328 meV/atom
Total energy = -9.91 eV/atom
Calculated volume = 50.5 Å³ per cell

***

Entry 5:
Tl2AsCl: optimized geometry, GGA-PBE.

```
4
Lattice="0.0000 3.7206 3.7206 3.7206 0.0000 3.7206 3.7206 3.7206 0.0000" Properties=species:S:1:pos:R:3 pbc="T T T"
Tl 1.8603 1.8603 1.8603
Tl 5.5809 5.5809 5.5809
As 0.0000 0.0000 0.0000
Cl 3.7206 3.7206 3.7206
```

## Properties
Symmetry = Fm-3m, No. 225
DOS at the Fermi energy = 1.16 states/eV/f.u.
Polymorph energy (0 for the lowest one) = 139 meV/atom
Total energy = -3.00 eV/atom
Energy relative to the elements, uncorrected = -194 meV/atom
Calculated volume = 103.0 Å³ per cell

***

Entry 6:
CsSnF3: optimized geometry, GGA-PBE.

```
10
Lattice="5.3040 0.0000 0.0000 0.3264 6.5945 0.0000 0.2496 0.4396 6.6848" Properties=species:S:1:pos:R:3 pbc="T T T"
Cs 0.0000 0.0000 0.0000
Cs 0.3925 3.3953 3.1874
Sn 3.0336 3.6880 6.5422
Sn 3.0863 6.7028 3.2907
F 0.7439 2.9790 0.1813
F 0.7083 0.3032 2.9754
F 2.2698 5.1398 4.9764
F 2.5222 1.5826 4.8234
F 2.6646 4.8887 1.2270
F 2.9254 1.8517 1.8560
```

## Properties
Symmetry = P1, No. 1
DOS at the Fermi energy = 0.00 states/eV/f.u.
Total energy = -4.61 eV/atom
Energy relative to the elements, uncorrected = -2518 meV/atom
Calculated volume = 233.8 Å³ per cell

***

Please write out number 5 again, unchanged.
Tl2AsCl: optimized geometry, GGA-PBE.

```
4
Lattice="0.0000 3.7206 3.7206 3.7206 0.0000 3.7206 3.7206 3.7206 0.0000" Properties=species:S:1:pos:R:3 pbc="T T T"
Tl 1.8603 1.8603 1.8603
Tl 5.5809 5.5809 5.5809
As 0.0000 0.0000 0.0000
Cl 3.7206 3.7206 3.7206
```

## Properties
Symmetry = Fm-3m, No. 225
DOS at the Fermi energy = 1.16 states/eV/f.u.
Polymorph energy (0 for the lowest one) = 139 meV/atom
Total energy = -3.00 eV/atom
Energy relative to the elements, uncorrected = -194 meV/atom
Calculated volume = 103.0 Å³ per cell